Compound: BaAg2Cl
Source: the Alexandria database
Functional: SCAN
Structure: PBEsol geometry

Geometry as CIF:
```
data_BaAg2Cl
_space_group_name_H-M_alt 'P 4/m m m'
_space_group_IT_number 123
_space_group_name_Hall '-P 4 2'
_cell_length_a 4.582
_cell_length_b 4.582
_cell_length_c 5.673
_cell_angle_alpha 90.00
_cell_angle_beta 90.00
_cell_angle_gamma 90.00
loop_
_atom_site_label
_atom_site_fract_x
_atom_site_fract_y
_atom_site_fract_z
Ba1 0.000 0.000 0.000
Ag1 0.500 0.500 0.250
Cl1 0.000 0.000 0.500
```

Calculated values
Density of states at the Fermi level = 1.303 states/eV/f.u.
Volume = 119.11 Å³/cell
Energy relative to the elements, uncorrected = -0.563 eV/atom